{
  "formula": "Ca3Pr3ScS8",
  "functional": "PBE",
  "state": "optimized geometry",
  "raw_formation_energy_ev_per_atom": -2.04,
  "lattice_angstrom": [[-7.785, -2.038, 0.378], [4.764, -3.313, -5.588], [0.910, -2.031, 7.786]],
  "species": ["S", "S", "S", "S", "S", "S", "S", "S", "Pr", "Pr", "Pr", "Ca", "Ca", "Ca", "Sc"],
  "frac_coords": [[0.233, 0.003, 0.735], [0.233, 0.465, 0.735], [0.247, 0.494, 0.241], [0.230, 0.997, 0.265], [0.753, 0.506, 0.759], [0.770, 0.003, 0.735], [0.767, 0.535, 0.265], [0.767, 0.997, 0.265], [0.500, 0.500, 0.500], [0.000, 0.500, 0.500], [0.500, 0.000, 0.500], [0.000, 0.500, 0.000], [0.500, 0.500, 0.000], [0.000, 0.000, 0.000], [0.000, 0.000, 0.500]]
}


{
  "formula": "CaPrSeS",
  "functional": "PBE",
  "state": "optimized geometry",
  "raw_formation_energy_ev_per_atom": -1.98,
  "lattice_angstrom": [[-0.047, -0.068, -4.111], [-1.099, -3.428, -1.987], [-6.972, 0.923, -1.992]],
  "species": ["Ca", "Pr", "S", "Se"],
  "frac_coords": [[0.996, 0.996, 0.013], [0.504, 0.504, 0.488], [0.253, 0.253, 0.241], [0.747, 0.747, 0.758]]
}


{
  "formula": "CaPr2SmS4",
  "functional": "PBE",
  "state": "optimized geometry",
  "raw_formation_energy_ev_per_atom": -2.04,
  "lattice_angstrom": [[4.036, 0.000, 0.000], [0.000, 7.025, 0.132], [0.000, -2.436, 6.634]],
  "species": ["Sm", "Pr", "Pr", "Ca", "S", "S", "S", "S"],
  "frac_coords": [[0.500, 0.500, 0.000], [0.000, 0.500, 0.500], [0.500, 0.000, 0.500], [0.000, 0.000, 0.000], [0.500, 0.755, 0.760], [0.500, 0.245, 0.240], [0.000, 0.251, 0.760], [0.000, 0.749, 0.240]]
}


{
  "formula": "CaPr4SmS8",
  "functional": "PBE",
  "state": "optimized geometry",
  "raw_formation_energy_ev_per_atom": -1.96,
  "lattice_angstrom": [[8.392, 0.000, 0.000], [4.196, 7.267, 0.000], [4.196, 2.422, 6.814]],
  "species": ["S", "S", "S", "S", "S", "S", "S", "S", "Pr", "Pr", "Pr", "Pr", "Ca", "Sm"],
  "frac_coords": [[0.762, 0.762, 0.253], [0.239, 0.239, 0.747], [0.775, 0.239, 0.747], [0.762, 0.223, 0.253], [0.223, 0.762, 0.253], [0.758, 0.758, 0.726], [0.242, 0.242, 0.273], [0.239, 0.775, 0.747], [0.002, 0.002, 0.502], [0.495, 0.002, 0.502], [0.625, 0.625, 0.126], [0.002, 0.495, 0.502], [0.375, 0.375, 0.875], [0.002, 0.002, 0.994]]
}


{
  "formula": "Ca3Pr3SmS8",
  "functional": "PBE",
  "state": "optimized geometry",
  "raw_formation_energy_ev_per_atom": -2.06,
  "lattice_angstrom": [[-4.591, -6.225, 2.544], [6.080, 2.749, 4.667], [-6.694, 4.511, -1.041]],
  "species": ["S", "S", "S", "S", "S", "S", "S", "S", "Pr", "Pr", "Pr", "Ca", "Ca", "Ca", "Sm"],
  "frac_coords": [[0.242, 0.998, 0.254], [0.248, 0.495, 0.243], [0.244, 0.002, 0.746], [0.756, 0.998, 0.254], [0.756, 0.511, 0.254], [0.244, 0.489, 0.746], [0.752, 0.505, 0.757], [0.758, 0.002, 0.746], [0.500, 0.500, 0.500], [0.500, 0.000, 0.500], [0.000, 0.500, 0.500], [0.000, 0.000, 0.000], [0.000, 0.500, 0.000], [0.500, 0.500, 0.000], [0.000, 0.000, 0.500]]
}


{
  "formula": "CaPrSm4S8",
  "functional": "PBE",
  "state": "optimized geometry",
  "raw_formation_energy_ev_per_atom": -1.97,
  "lattice_angstrom": [[-7.014, -4.198, -1.231], [-0.058, -6.573, -5.013], [-0.870, -7.618, 3.182]],
  "species": ["Sm", "Sm", "Sm", "Sm", "S", "S", "S", "S", "S", "S", "S", "S", "Ca", "Pr"],
  "frac_coords": [[0.625, 0.625, 0.124], [0.002, 0.002, 0.502], [0.002, 0.494, 0.502], [0.494, 0.002, 0.502], [0.241, 0.241, 0.278], [0.755, 0.755, 0.263], [0.244, 0.244, 0.736], [0.755, 0.228, 0.263], [0.228, 0.755, 0.263], [0.244, 0.776, 0.736], [0.776, 0.244, 0.736], [0.758, 0.758, 0.725], [0.375, 0.375, 0.876], [0.002, 0.002, 0.995]]
}


no.,magnetic moment (μB per cell)
1,0.00
2,0.00
3,0.00
4,0.00
5,0.00
6,0.00